Entry 1:
Below is crystalline Cs3PaF8 at its relaxed geometry, with properties calculated at the PBE level.

a = 6.552 Å, b = 6.552 Å, c = 12.842 Å
α = 90.00°, β = 90.00°, γ = 90.00°
Space group I4/mmm (No. 139)
Inequivalent atoms, fractional coordinates:
Cs: 0.000 0.000 0.000 x2
Cs: 0.000 0.500 0.250 x4
Pa: 0.000 0.000 0.500 x2
F: 0.197 0.197 0.399 x16

Entry 2:
Below is crystalline CsPaF6 at its relaxed geometry, with properties calculated at the PBE level.

a = 6.0430 Å, b = 6.0430 Å, c = 17.4771 Å
α = 90.00°, β = 90.00°, γ = 120.00°
Space group R-3m (No. 166, hexagonal axes)
Inequivalent atoms, fractional coordinates:
Cs: 0.0000 0.0000 0.0000 x3
Pa: 0.0000 0.0000 0.5000 x3
F: 0.0096 0.5048 0.0946 x18

Summary:
Its energy relative to the lowest polymorph listed for this composition is 51 meV/atom.

Entry 3:
Below is crystalline Cs2PaF6 at its relaxed geometry, with properties calculated at the PBE level.

a = 7.0572 Å, b = 7.0572 Å, c = 5.3824 Å
α = 90.00°, β = 90.00°, γ = 120.00°
Space group P-31m (No. 162)
Inequivalent atoms, fractional coordinates:
Cs: 0.3333 0.6667 0.0000 x2
Pa: 0.0000 0.0000 0.5000 x1
F: 0.0000 0.2619 0.7272 x6

Entry 4:
Below is crystalline CsPa2F9 at its relaxed geometry, with properties calculated at the PBE level.

a = 7.9646 Å, b = 7.9646 Å, c = 3.6233 Å
α = 90.00°, β = 90.00°, γ = 120.00°
Space group P6/mmm (No. 191)
Inequivalent atoms, fractional coordinates:
Cs: 0.0000 0.0000 0.0000 x1
Pa: 0.3333 0.6667 0.0000 x2
F: 0.0000 0.5000 0.0000 x3
F: 0.2206 0.4413 0.5000 x6

Entry 5:
Below is crystalline Cs6PaF12 at its relaxed geometry, with properties calculated at the PBE level.

a = 12.9059 Å, b = 12.9059 Å, c = 12.0022 Å
α = 90.00°, β = 90.00°, γ = 120.00°
Space group R-3 (No. 148, hexagonal axes)
Inequivalent atoms, fractional coordinates:
Cs: 0.0226 0.7884 0.1402 x18
Pa: 0.0000 0.0000 0.5000 x3
F: 0.0114 0.8712 0.3995 x18
F: 0.0153 0.7917 0.8946 x18

Entry 6:
Below is crystalline CsPaF6 at its relaxed geometry, with properties calculated at the PBE level.

a = 10.222 Å, b = 10.222 Å, c = 10.222 Å
α = 90.00°, β = 90.00°, γ = 90.00°
Space group Fm-3m (No. 225)
Inequivalent atoms, fractional coordinates:
Cs: 0.000 0.000 0.000 x4
Pa: 0.000 0.000 0.500 x4
F: 0.000 0.000 0.293 x24

Summary:
Its energy relative to the lowest polymorph listed for this composition is 0 meV/atom.

Entry 7:
Below is crystalline CsRbPaF6 at its relaxed geometry, with properties calculated at the PBE level.

a = 7.2379 Å, b = 7.2379 Å, c = 9.3904 Å
α = 90.00°, β = 90.00°, γ = 120.00°
Space group P-31c (No. 163)
Inequivalent atoms, fractional coordinates:
Cs: 0.3333 0.6667 0.2500 x2
Rb: 0.0000 0.0000 0.0000 x2
Pa: 0.3333 0.6667 0.7500 x2
F: 0.0844 0.4028 0.6225 x12

Entry 8:
Below is crystalline CsRb2PaF8 at its relaxed geometry, with properties calculated at the PBE level.

a = 6.303 Å, b = 6.303 Å, c = 12.771 Å
α = 90.00°, β = 90.00°, γ = 90.00°
Space group I-4m2 (No. 119)
Inequivalent atoms, fractional coordinates:
Cs: 0.000 0.000 0.000 x2
Rb: 0.000 0.000 0.500 x2
Rb: 0.000 0.500 0.750 x2
Pa: 0.000 0.500 0.250 x2
F: 0.202 0.293 0.351 x16

Entry 9:
Below is crystalline Cs2RbPaF8 at its relaxed geometry, with properties calculated at the PBE level.

a = 6.523 Å, b = 6.523 Å, c = 12.444 Å
α = 90.00°, β = 90.00°, γ = 90.00°
Space group I-4m2 (No. 119)
Inequivalent atoms, fractional coordinates:
Cs: 0.000 0.000 0.000 x2
Cs: 0.000 0.500 0.250 x2
Rb: 0.000 0.000 0.500 x2
Pa: 0.000 0.500 0.750 x2
F: 0.195 0.300 0.646 x16

Entry 10:
Below is crystalline Cs2PaS2F4 at its relaxed geometry, with properties calculated at the PBE level.

a = 7.658 Å, b = 7.658 Å, c = 7.895 Å
α = 90.00°, β = 90.00°, γ = 90.00°
Space group I4/mmm (No. 139)
Inequivalent atoms, fractional coordinates:
Cs: 0.000 0.500 0.250 x4
Pa: 0.000 0.000 0.000 x2
S: 0.000 0.000 0.321 x4
F: 0.199 0.199 0.000 x8

Entry 11:
Below is crystalline Cs3Pa2S5F2 at its relaxed geometry, with properties calculated at the PBE level.

a = 5.386 Å, b = 5.386 Å, c = 25.721 Å
α = 90.00°, β = 90.00°, γ = 90.00°
Space group I4/mmm (No. 139)
Inequivalent atoms, fractional coordinates:
Cs: 0.000 0.000 0.000 x2
Cs: 0.000 0.000 0.193 x4
Pa: 0.000 0.000 0.397 x4
S: 0.000 0.000 0.500 x2
S: 0.000 0.500 0.107 x8
F: 0.000 0.000 0.311 x4

Entry 12:
Below is crystalline Cs3Pa2Se5F2 at its relaxed geometry, with properties calculated at the PBE level.

a = 5.664 Å, b = 5.664 Å, c = 26.102 Å
α = 90.00°, β = 90.00°, γ = 90.00°
Space group I4/mmm (No. 139)
Inequivalent atoms, fractional coordinates:
Cs: 0.000 0.000 0.000 x2
Cs: 0.000 0.000 0.194 x4
Pa: 0.000 0.000 0.393 x4
Se: 0.000 0.000 0.500 x2
Se: 0.000 0.500 0.109 x8
F: 0.000 0.000 0.310 x4

Entry 13:
Below is crystalline CsPaTl2F8 at its relaxed geometry, with properties calculated at the PBE level.

a = 4.103 Å, b = 9.132 Å, c = 7.233 Å
α = 90.00°, β = 91.45°, γ = 90.00°
Space group P2/m (No. 10)
Inequivalent atoms, fractional coordinates:
Cs: 0.000 0.000 0.000 x1
Pa: 0.000 0.500 0.000 x1
Tl: 0.500 0.216 0.500 x2
F: 0.001 0.319 0.816 x4
F: 0.486 0.000 0.706 x2
F: 0.499 0.500 0.164 x2

Entry 14:
Below is crystalline CsPaZn2F8 at its relaxed geometry, with properties calculated at the PBE level.

a = 5.6953 Å, b = 5.6953 Å, c = 25.1778 Å
α = 90.00°, β = 90.00°, γ = 120.00°
Space group R-3 (No. 148, hexagonal axes)
Inequivalent atoms, fractional coordinates:
Cs: 0.0000 0.0000 0.0000 x3
Pa: 0.0000 0.0000 0.5000 x3
Zn: 0.0000 0.0000 0.2552 x6
F: 0.0000 0.0000 0.3295 x6
F: 0.0036 0.6425 0.8862 x18

Entry 15:
Below is crystalline Cs3PbF8 at its relaxed geometry, with properties calculated at the PBE level.

a = 8.9607 Å, b = 8.9607 Å, c = 7.7102 Å
α = 90.00°, β = 90.00°, γ = 120.00°
Space group P6_3mc (No. 186)
Inequivalent atoms, fractional coordinates:
Cs: 0.1620 0.3241 0.0000 x6
Pb: 0.3333 0.6667 0.4656 x2
F: 0.0000 0.0000 0.2662 x2
F: 0.0773 0.5387 0.3592 x6
F: 0.2199 0.4399 0.6224 x6
F: 0.3333 0.6667 0.1577 x2

Entry 16:
Below is crystalline Cs12Pb3F5 at its relaxed geometry, with properties calculated at the PBE level.

a = 19.979 Å, b = 19.979 Å, c = 19.979 Å
α = 90.00°, β = 90.00°, γ = 90.00°
Space group Ia-3d (No. 230)
Inequivalent atoms, fractional coordinates:
Cs: 0.035 0.047 0.647 x96
Pb: 0.000 0.250 0.125 x24
F: 0.000 0.000 0.000 x16
F: 0.000 0.250 0.375 x24

Entry 17:
Below is crystalline Cs2Pb3F8 at its relaxed geometry, with properties calculated at the PBE level.

a = 14.038 Å, b = 7.847 Å, c = 6.615 Å
α = 90.00°, β = 111.15°, γ = 90.00°
Space group C2/m (No. 12)
Inequivalent atoms, fractional coordinates:
Cs: 0.217 0.000 0.162 x4
Pb: 0.000 0.241 0.500 x4
Pb: 0.000 0.500 0.000 x2
F: 0.094 0.500 0.404 x4
F: 0.099 0.000 0.458 x4
F: 0.101 0.286 0.888 x8

| no. | magnetic moment (Bohr magnetons per cell) | mass density (g/cm³) | uncorrected formation energy (eV per atom) |
| --- | --- | --- | --- |
| 1 | 0.000 | 4.709 | -3.41 |
| 2 | 0.000 | 4.308 | -3.62 |
| 3 | 1.000 | 4.369 | -3.43 |
| 4 | 2.000 | 6.390 | -3.61 |
| 5 | 3.255 | 3.615 | -2.96 |
| 6 | 0.000 | 2.972 | -3.67 |
| 7 | 2.000 | 4.392 | -3.41 |
| 8 | 0.000 | 4.495 | -3.40 |
| 9 | 0.000 | 4.605 | -3.40 |
| 10 | 0.000 | 4.569 | -2.53 |
| 11 | 2.182 | 4.714 | -2.02 |
| 12 | 2.069 | 5.130 | -1.91 |
| 13 | 0.000 | 5.668 | -2.99 |
| 14 | 4.489 | 4.555 | -2.71 |
| 15 | 2.254 | 4.695 | -2.25 |
| 16 | 40.807 | 3.850 | -1.27 |
| 17 | 0.000 | 5.079 | -2.47 |